Tb6PmSc4 | PBE | relaxed

Lattice parameters (Å, degrees): 8.7082 8.7082 5.2592 90.00 90.00 120.00
Closest atoms and distances in Å follow each position.
Element x y z (fractional)
Tb1 0.1993 0.3985 0.0000  4 Sc 3.12-3.32
Tb2 0.1993 0.8007 0.0000  4 Sc 3.12-3.32
Tb3 0.5331 0.0661 0.5000  5 Sc 3.01-3.25
Tb4 0.5331 0.4669 0.5000  5 Sc 3.01-3.25
Tb5 0.6015 0.8007 0.0000  4 Sc 3.12-3.32
Tb6 0.9339 0.4669 0.5000  5 Sc 3.01-3.25
Pm1 0.0000 0.0000 0.5000  12 Tb 3.99-4.38, 6 Sc 4.16
Sc1 0.3333 0.6667 0.5000  9 Tb 3.01-3.32
Sc2 0.4279 0.2139 0.0000  2 Sc 3.12, 6 Tb 3.12-3.25
Sc3 0.7861 0.2139 0.0000  2 Sc 3.12, 6 Tb 3.12-3.25
Sc4 0.7861 0.5721 0.0000  2 Sc 3.12, 6 Tb 3.12-3.25

Results
Formation energy in eV per atom: 0.317
Fermi-level density of states in states/eV per cell: 19.0

---

Li2CeSb2 | PBE | relaxed

Lattice parameters (Å, degrees): 4.6065 4.6065 11.0931 90.00 90.00 90.00
Closest atoms and distances in Å follow each position.
Element x y z (fractional)
Li1 0.2500 0.2500 0.1232  5 Sb 2.55-2.68
Li2 0.2500 0.7500 0.5000  4 Sb 2.82
Li3 0.7500 0.2500 0.5000  4 Sb 2.82
Li4 0.7500 0.7500 0.8768  5 Sb 2.55-2.68
Ce1 0.2500 0.2500 0.7673  8 Sb 3.46-3.52, 8 Li 3.48-3.76
Ce2 0.7500 0.7500 0.2327  8 Sb 3.46-3.52, 8 Li 3.48-3.76
Sb1 0.2500 0.2500 0.3530  5 Li 2.55-2.82
Sb2 0.2500 0.7500 0.0000  4 Li 2.68
Sb3 0.7500 0.2500 0.0000  4 Li 2.68
Sb4 0.7500 0.7500 0.6470  5 Li 2.55-2.82

Results
ΔE_f (raw) in eV/f.u.: -3.433
Fermi-level density of states in states/eV per cell: 17.8

---

Ti2NiSn | PBE | relaxed

Lattice parameters (Å, degrees): 5.7607 5.7607 5.7607 103.23 103.23 122.83
Closest atoms and distances in Å follow each position.
Element x y z (fractional)
Ti1 0.0734 0.6250 0.9484  2 Ni 2.39
Ti2 0.3750 0.3234 0.4484  2 Ni 2.39
Ti3 0.6766 0.1250 0.0516  2 Ni 2.39
Ti4 0.8750 0.9266 0.5516  2 Ni 2.39
Ni1 0.0000 0.0000 0.0000  4 Ti 2.39
Ni2 0.7500 0.2500 0.5000  4 Ti 2.39
Sn1 0.2500 0.7500 0.5000  2 Ni 2.76, 8 Ti 2.89-3.08
Sn2 0.5000 0.5000 0.0000  2 Ni 2.76, 8 Ti 2.89-3.08

Results
Formation energy in eV per atom: -0.044
Fermi-level density of states in states/eV per cell: 7.8

---

Lu3Ti5H12 | PBE | relaxed

Lattice parameters (Å, degrees): 10.0519 10.0519 10.0519 109.47 109.47 109.47
Closest atoms and distances in Å follow each position.
Element x y z (fractional)
Lu1 0.1250 0.2500 0.3750  8 H 2.13-2.19
Lu2 0.1250 0.3750 0.7500  8 H 2.13-2.19
Lu3 0.2500 0.3750 0.1250  8 H 2.13-2.19
Lu4 0.2500 0.8750 0.6250  8 H 2.13-2.19
Lu5 0.3750 0.1250 0.2500  8 H 2.13-2.19
Lu6 0.3750 0.7500 0.1250  8 H 2.13-2.19
Lu7 0.6250 0.2500 0.8750  8 H 2.13-2.19
Lu8 0.6250 0.8750 0.7500  8 H 2.13-2.19
Lu9 0.7500 0.1250 0.3750  8 H 2.13-2.19
Lu10 0.7500 0.6250 0.8750  8 H 2.13-2.19
Lu11 0.8750 0.6250 0.2500  8 H 2.13-2.19
Lu12 0.8750 0.7500 0.6250  8 H 2.13-2.19
Ti1 0.0000 0.0000 0.0000  6 H 1.89
Ti2 0.0000 0.0000 0.5000  6 H 1.89
Ti3 0.0000 0.5000 0.0000  6 H 1.89
Ti4 0.0000 0.5000 0.5000  6 H 1.89
Ti5 0.1250 0.7500 0.8750  4 H 1.88
Ti6 0.1250 0.8750 0.2500  4 H 1.88
Ti7 0.2500 0.1250 0.8750  4 H 1.88
Ti8 0.2500 0.6250 0.3750  4 H 1.88
Ti9 0.3750 0.2500 0.6250  4 H 1.88
Ti10 0.3750 0.6250 0.7500  4 H 1.88
Ti11 0.5000 0.0000 0.0000  6 H 1.89
Ti12 0.5000 0.0000 0.5000  6 H 1.89
Ti13 0.5000 0.5000 0.0000  6 H 1.89
Ti14 0.5000 0.5000 0.5000  6 H 1.89
Ti15 0.6250 0.3750 0.2500  4 H 1.88
Ti16 0.6250 0.7500 0.3750  4 H 1.88
Ti17 0.7500 0.3750 0.6250  4 H 1.88
Ti18 0.7500 0.8750 0.1250  4 H 1.88
Ti19 0.8750 0.1250 0.7500  4 H 1.88
Ti20 0.8750 0.2500 0.1250  4 H 1.88
H1 0.0490 0.2130 0.1348  2 Ti 1.88-1.89
H2 0.0490 0.3360 0.9141  2 Ti 1.88-1.89
H3 0.0782 0.7130 0.6640  2 Ti 1.88-1.89
H4 0.0782 0.8652 0.4141  2 Ti 1.88-1.89
H5 0.0859 0.6348 0.4218  2 Ti 1.88-1.89
H6 0.0859 0.9510 0.6640  2 Ti 1.88-1.89
H7 0.1348 0.0490 0.2130  2 Ti 1.88-1.89
H8 0.1348 0.5859 0.9218  2 Ti 1.88-1.89
H9 0.1640 0.2130 0.5782  2 Ti 1.88-1.89
H10 0.1640 0.4510 0.5859  2 Ti 1.88-1.89
H11 0.2130 0.1348 0.0490  2 Ti 1.88-1.89
H12 0.2130 0.5782 0.1640  2 Ti 1.88-1.89
H13 0.2870 0.3360 0.9218  2 Ti 1.88-1.89
H14 0.2870 0.4510 0.3652  2 Ti 1.88-1.89
H15 0.3360 0.9141 0.0490  2 Ti 1.88-1.89
H16 0.3360 0.9218 0.2870  2 Ti 1.88-1.89
H17 0.3652 0.2870 0.4510  2 Ti 1.88-1.89
H18 0.3652 0.5782 0.9141  2 Ti 1.88-1.89
H19 0.4141 0.0782 0.8652  2 Ti 1.88-1.89
H20 0.4141 0.8360 0.5490  2 Ti 1.88-1.89
H21 0.4218 0.0859 0.6348  2 Ti 1.88-1.89
H22 0.4218 0.8360 0.7870  2 Ti 1.88-1.89
H23 0.4510 0.3652 0.2870  2 Ti 1.88-1.89
H24 0.4510 0.5859 0.1640  2 Ti 1.88-1.89
H25 0.5490 0.4141 0.8360  2 Ti 1.88-1.89
H26 0.5490 0.6348 0.7130  2 Ti 1.88-1.89
H27 0.5782 0.1640 0.2130  2 Ti 1.88-1.89
H28 0.5782 0.9141 0.3652  2 Ti 1.88-1.89
H29 0.5859 0.1640 0.4510  2 Ti 1.88-1.89
H30 0.5859 0.9218 0.1348  2 Ti 1.88-1.89
H31 0.6348 0.4218 0.0859  2 Ti 1.88-1.89
H32 0.6348 0.7130 0.5490  2 Ti 1.88-1.89
H33 0.6640 0.0782 0.7130  2 Ti 1.88-1.89
H34 0.6640 0.0859 0.9510  2 Ti 1.88-1.89
H35 0.7130 0.5490 0.6348  2 Ti 1.88-1.89
H36 0.7130 0.6640 0.0782  2 Ti 1.88-1.89
H37 0.7870 0.4218 0.8360  2 Ti 1.88-1.89
H38 0.7870 0.8652 0.9510  2 Ti 1.88-1.89
H39 0.8360 0.5490 0.4141  2 Ti 1.88-1.89
H40 0.8360 0.7870 0.4218  2 Ti 1.88-1.89
H41 0.8652 0.4141 0.0782  2 Ti 1.88-1.89
H42 0.8652 0.9510 0.7870  2 Ti 1.88-1.89
H43 0.9141 0.0490 0.3360  2 Ti 1.88-1.89
H44 0.9141 0.3652 0.5782  2 Ti 1.88-1.89
H45 0.9218 0.1348 0.5859  2 Ti 1.88-1.89
H46 0.9218 0.2870 0.3360  2 Ti 1.88-1.89
H47 0.9510 0.6640 0.0859  2 Ti 1.88-1.89
H48 0.9510 0.7870 0.8652  2 Ti 1.88-1.89

Results
Final energy in eV/atom: -5.084
Fermi-level density of states in states/eV per cell: 38.3

---

| no. | density (g cm⁻³) |
| --- | --- |
| 1 | 6.1 |
| 2 | 5.6 |
| 3 | 6.4 |
| 4 | 6.6 |